(1)
This record from Alexandria describes a relaxed structure of Dy3ZrTl4Se8. The functional is PBE.

Properties
The energy relative to the elements, uncorrected comes out at -1.261 eV/atom.

Geometry as POSCAR:
```
Dy3ZrTl4Se8
1.0
-3.8763 4.3332 -5.8086
-7.0980 1.2151 5.6432
7.3535 2.4493 2.7339
Se Dy Tl Zr
8 3 4 1
Cartesian
-2.5125 2.9668 3.8899
-2.9056 1.5256 0.2677
-4.9088 3.7650 -2.7341
-0.7152 6.4720 2.3007
1.2881 4.2326 5.3026
0.7812 2.7976 1.5657
-1.1083 5.0308 -1.3214
-4.4019 5.2000 1.0027
-5.4871 2.7741 -0.0827
-1.8104 3.9988 1.2842
0.1278 1.8322 4.1885
1.7386 3.3913 -1.5374
-1.9381 2.1666 -2.9043
3.6768 1.2246 1.3669
0.0000 0.0000 0.0000
-3.5490 0.6075 2.8216
```


(2)
This record from Alexandria describes a relaxed structure of CaSm2CuO5. The functional is PBE.

Properties
The energy relative to the elements, uncorrected comes out at -2.554 eV/atom.

Geometry as POSCAR:
```
CaSm2CuO5
1.0
5.7261 0.0000 0.0000
0.0000 6.5585 0.0000
0.0000 0.0000 6.5585
O Sm Ca Cu
10 4 2 2
Cartesian
1.3646 2.3278 0.9514
4.3615 0.9514 4.2307
1.3646 4.2307 5.6071
2.8631 0.0000 0.0000
4.3615 5.6071 2.3278
4.3615 4.2307 5.6071
1.3646 0.9514 4.2307
4.3615 2.3278 0.9514
1.3646 5.6071 2.3278
2.8631 3.2793 3.2793
2.8631 1.1254 2.1538
2.8631 2.1538 5.4331
2.8631 5.4331 4.4047
2.8631 4.4047 1.1254
0.0000 3.2793 3.2793
0.0000 0.0000 0.0000
0.0000 3.2793 0.0000
0.0000 0.0000 3.2793
```


(3)
This record from Alexandria describes a relaxed structure of ReP2Br. The functional is PBE.

Properties
The energy relative to the elements, uncorrected comes out at 0.323 eV/atom. The calculation puts the polymorph energy (0 for the lowest one) at 0.294 eV/atom.

Geometry as POSCAR:
```
ReP2Br
1.0
-1.7526 2.4671 -0.4801
-0.2770 -0.6775 -2.4706
-9.0609 -6.3753 0.3146
P Br Re
2 1 1
Cartesian
-3.8759 -2.7702 -0.0871
-0.7931 -0.7562 -0.9909
-7.8797 -4.0561 -1.8570
-3.2108 -0.5296 -0.7790
```


(4)
This record from Alexandria describes a relaxed structure of MnRhSeBr2. The functional is PBE.

Properties
The energy relative to the elements, uncorrected comes out at 0.797 eV/atom. The calculation puts the polymorph energy (0 for the lowest one) at 0.520 eV/atom.

Geometry as POSCAR:
```
MnRhSeBr2
1.0
-2.7551 -0.9184 3.6538
3.8740 -0.2219 2.8653
-0.3775 4.5711 0.8643
Br Rh Mn Se
2 1 1 1
Cartesian
-1.3776 -0.4592 1.8269
-0.1887 2.2856 0.4322
1.9370 -0.1109 1.4327
0.0000 0.0000 0.0000
0.3707 1.7154 3.6917
```


(5)
This record from Alexandria describes a relaxed structure of LaFe2Sb. The functional is PBE.

Properties
The energy relative to the elements, uncorrected comes out at -0.276 eV/atom.

Geometry as POSCAR:
```
LaFe2Sb
1.0
6.1154 -0.0994 -0.0619
4.7715 3.8263 -0.0619
4.7715 1.6334 3.4607
Fe Sb La
2 1 1
Cartesian
15.3183 5.2440 3.2645
4.6914 1.6060 0.9998
11.1020 3.8006 2.3660
8.0341 2.7503 1.7121
```


(6)
This record from Alexandria describes a relaxed structure of Na2YMg2. The functional is PBE.

Properties
The calculation puts the polymorph energy (0 for the lowest one) at 0.073 eV/atom.

Geometry as POSCAR:
```
Na2YMg2
1.0
-6.7579 -1.1169 -6.2957
6.3815 -1.7516 -6.5392
-0.1450 -3.2861 0.7387
Na Mg Y
4 4 2
Cartesian
-3.5749 -3.1417 -6.9854
3.0534 -3.0129 -5.1109
-1.1884 -2.3108 -2.8205
0.6670 -3.8438 -9.2758
-1.9268 -2.0720 -9.5958
-3.4260 -0.9166 -4.7503
1.5503 -0.7966 -3.2392
3.0495 -1.9520 -8.0847
0.0000 0.0000 0.0000
-0.1882 -1.4343 -6.4175
```


(7)
This record from Alexandria describes a relaxed structure of Pr3Er5Tm3. The functional is PBE.

Geometry as POSCAR:
```
Pr3Er5Tm3
1.0
5.3267 0.0000 0.0000
0.0000 9.6602 0.0000
0.0000 -4.8301 8.3660
Er Tm Pr
5 3 3
Cartesian
2.6633 1.2617 2.1853
2.6633 7.1369 0.0000
2.6633 -3.5684 6.1807
2.6633 4.8301 2.7887
2.6633 0.0000 5.5773
0.0000 -2.6404 4.5732
0.0000 5.2807 0.0000
0.0000 2.1898 3.7928
2.6633 -1.7684 3.0629
2.6633 3.5368 0.0000
2.6633 3.0617 5.3031
```


(8)
This record from Alexandria describes a relaxed structure of La12TlCo5. The functional is PBE.

Geometry as POSCAR:
```
La12TlCo5
1.0
-2.4546 -4.4179 -7.1147
5.9416 5.9896 -2.2324
3.6662 -5.2338 5.9438
La Co Tl
12 5 1
Cartesian
3.5382 -2.7900 0.8508
2.5086 0.4377 -1.0124
5.7040 2.7175 -0.9510
6.1636 -0.9431 -1.3951
-1.2382 -4.5626 -4.6633
4.6447 -4.0998 -2.3908
0.9897 -2.7190 -2.0082
6.8325 -2.5308 2.1234
8.3914 0.9006 1.2601
1.4492 -6.3795 -2.4523
0.3208 -1.1313 -5.5267
3.6151 -0.8721 -4.2541
5.2889 1.0648 -3.3040
1.2423 0.5599 -3.3300
1.8643 -4.7268 -0.0993
0.0000 0.0000 0.0000
2.2447 1.0118 -6.0170
4.8039 0.3779 1.8557
```


(9)
This record from Alexandria describes a relaxed structure of CaIr2Ru. The functional is PBE.

Properties
The calculation puts the polymorph energy (0 for the lowest one) at 0.091 eV/atom.

Geometry as POSCAR:
```
CaIr2Ru
1.0
4.9366 -0.0010 0.0000
-1.6511 4.6522 0.0000
0.0000 0.0000 2.7901
Ir Ru Ca
2 1 1
Cartesian
0.0000 0.0000 0.0000
1.6427 2.3256 0.0000
2.4683 -0.0005 1.3950
-0.8256 2.3261 1.3950
```


(10)
This record from Alexandria describes a relaxed structure of RuW3C. The functional is PBE.

Properties
The calculation puts the polymorph energy (0 for the lowest one) at 3.005 eV/atom.

Geometry as POSCAR:
```
RuW3C
1.0
4.6767 0.0000 0.0000
0.0000 4.6767 0.0000
0.0000 0.0000 4.6767
W C Ru
3 1 1
Cartesian
0.0000 0.0000 2.3383
2.3383 0.0000 0.0000
0.0000 2.3383 0.0000
2.3383 2.3383 2.3383
0.0000 0.0000 0.0000
```


(11)
This record from Alexandria describes a relaxed structure of HfTe2F2. The functional is PBE.

Properties
The energy relative to the elements, uncorrected comes out at -0.980 eV/atom. The calculation puts the polymorph energy (0 for the lowest one) at 0.000 eV/atom.

Geometry as POSCAR:
```
HfTe2F2
1.0
3.7081 0.0000 0.0000
0.0000 3.7081 0.0000
1.8540 1.8540 6.7748
F Hf Te
2 1 2
Cartesian
3.7081 1.8540 3.3874
1.8540 3.7081 3.3874
0.0000 0.0000 0.0000
1.8540 1.8540 1.5620
3.7081 3.7081 5.2129
```


(12)
This record from Alexandria describes a relaxed structure of Ac3Pd7Pb2. The functional is PBE.

Properties
The calculation puts the polymorph energy (0 for the lowest one) at 0.077 eV/atom.

Geometry as POSCAR:
```
Ac3Pd7Pb2
1.0
4.1975 0.0000 0.0000
0.0000 4.3928 -0.6744
0.0000 0.0027 16.2530
Pb Ac Pd
2 3 7
Cartesian
4.1975 0.3040 2.6911
0.0000 4.0914 12.8875
2.0988 3.0854 6.1310
2.0988 2.1964 -0.3372
2.0988 1.3101 9.4476
0.0000 0.0000 0.0000
4.1975 2.7547 4.0090
4.1975 3.4751 8.9554
2.0988 3.8149 11.0952
2.0988 0.5805 4.4834
0.0000 0.9204 6.6232
0.0000 1.6407 11.5696
```


(13)
This record from Alexandria describes a relaxed structure of LaCu2As. The functional is PBE.

Geometry as POSCAR:
```
LaCu2As
1.0
-2.6092 3.7954 1.4229
-3.1781 2.0078 -3.0176
-4.7279 -0.4900 0.8030
As La Cu
1 1 2
Cartesian
-5.2576 2.6566 -0.3959
-7.8864 3.9848 -0.5938
0.0000 0.0000 0.0000
-2.6288 1.3283 -0.1979
```


(14)
This record from Alexandria describes a relaxed structure of TcOs2Pt. The functional is PBE.

Properties
The calculation puts the polymorph energy (0 for the lowest one) at 0.024 eV/atom.

Geometry as POSCAR:
```
TcOs2Pt
1.0
-0.3057 3.2136 -2.1625
-2.5756 -1.7889 -2.2942
-2.8766 1.2458 2.2580
Pt Tc Os
1 1 2
Cartesian
-1.5912 2.2297 0.0477
-2.7261 -0.2715 -0.0181
-1.4406 0.7124 -2.2284
0.0000 0.0000 0.0000
```


(15)
This record from Alexandria describes a relaxed structure of Be2FeCo2. The functional is PBE.

Properties
The calculation puts the polymorph energy (0 for the lowest one) at 0.000 eV/atom.

Geometry as POSCAR:
```
Be2FeCo2
1.0
-3.5451 -0.0451 -4.8304
-4.7141 -1.2759 3.4716
-0.4460 2.4755 0.3042
Co Be Fe
4 4 2
Cartesian
-2.1970 1.0031 -0.8322
-6.5081 0.1515 -0.2224
-4.0035 0.3721 1.6537
-4.7016 0.7824 -2.7083
-2.8050 -0.1877 -2.5851
-2.2109 -0.4841 0.6980
-5.4542 -1.1333 1.2263
-6.0482 -0.8369 -2.0568
0.0000 0.0000 0.0000
-4.1296 -0.6605 -0.6794
```


(16)
This record from Alexandria describes a relaxed structure of NaErTm. The functional is PBE.

Properties
The calculation puts the polymorph energy (0 for the lowest one) at 0.071 eV/atom.

Geometry as POSCAR:
```
NaErTm
1.0
3.4804 0.0000 0.0000
-1.7402 3.0142 0.0000
0.0000 0.0000 9.1141
Tm Er Na
1 1 1
Cartesian
1.7402 1.0047 3.1994
0.0000 2.0094 5.9111
0.0000 0.0000 0.0036
```


(17)
This record from Alexandria describes a relaxed structure of Ca3PdPt2. The functional is PBE.

Geometry as POSCAR:
```
Ca3PdPt2
1.0
-0.6838 3.4487 -0.4520
-1.3058 -0.8702 -4.6638
-6.3261 -0.6657 4.4914
Ca Pd Pt
3 1 2
Cartesian
-0.9948 1.2893 -2.5579
-5.6017 0.5626 -1.1324
-2.7141 1.3502 0.5080
0.0000 0.0000 0.0000
-4.6940 -0.7404 1.4524
-2.9380 -0.7955 -1.6248
```


What are the total magnetic moment values for these records? In order: 0.051; 0.111; 0.000; 0.000; 0.726; 0.096; 0.000; 0.000; 0.000; 0.000; 0.000; 0.000; 0.000; 0.000; 0.000; 0.004; 0.000 μB per atom.
What are the VASP energy values for these records? In order: -4.992; -7.035; -5.912; -3.874; -6.770; -2.200; -3.775; -5.559; -7.146; -8.284; -4.976; -5.182; -4.705; -9.664; -6.100; -3.293; -4.697 eV per atom.